Compound: TlTeIrAuS2
Source: OQMD via LeMat-Bulk
Functional: PBE
Structure: optimized geometry

Summary:
Volume (A^3/atom): 24.56
Symmetry: No. 63
Energy (eV/atom): -4.494

Cell: 8.1512 8.1512 10.2854 Å, 90.00 90.00 154.45°
Last column: nearest neighbours and their distance in Å.
Sites, in units of the cell vectors:
Tl: 0.2251 0.7749 0.7500  2 Au 3.05, 2 Te 3.32
Tl: 0.7749 0.2251 0.2500  2 Au 3.05, 2 Te 3.32
Te: 0.4502 0.5498 0.2500  2 Ir 2.69
Te: 0.5498 0.4502 0.7500  2 Ir 2.69
Ir: 0.5000 0.5000 0.0000  4 S 2.41, 2 Te 2.69
Ir: 0.5000 0.5000 0.5000  4 S 2.41, 2 Te 2.69
Au: 0.1205 0.8795 0.2500  2 S 2.37
Au: 0.8795 0.1205 0.7500  2 S 2.37
S: 0.0995 0.9005 0.0221  1 Au 2.37, 2 Ir 2.41
S: 0.0995 0.9005 0.4779  1 Au 2.37, 2 Ir 2.41
S: 0.9005 0.0995 0.5221  1 Au 2.37, 2 Ir 2.41
S: 0.9005 0.0995 0.9779  1 Au 2.37, 2 Ir 2.41